## Sr2Bi2Pb (GGA-PBE)

Data for an optimized crystal structure of Sr2Bi2Pb.

abc: 9.581 9.581 3.972
angles: 90.00 90.00 90.00
Fractional coordinates of all 10 atoms:
Sr1 0.141 0.359 0.000
Sr2 0.359 0.859 0.000
Sr3 0.641 0.141 0.000
Sr4 0.859 0.641 0.000
Bi1 0.161 0.661 0.500
Bi2 0.339 0.161 0.500
Bi3 0.661 0.839 0.500
Bi4 0.839 0.339 0.500
Pb1 0.000 0.000 0.500
Pb2 0.500 0.500 0.500

For the energy of formation from the pure elements, the calculation gives -2.910 eV/f.u. As for the space-group type: P4/mbm, No. 127. For the offset from the most stable computed form, the calculation gives 4.8 kJ/mol of atoms.

---

## CaAc2Dy (GGA-PBE)

Data for an optimized crystal structure of CaAc2Dy.

abc: 3.900 3.900 10.711
angles: 90.00 90.00 90.00
Fractional coordinates of all 4 atoms:
Ca1 0.000 0.000 0.000
Ac1 0.500 0.500 0.266
Ac2 0.500 0.500 0.734
Dy1 0.000 0.000 0.500

For the energy of formation from the pure elements, the calculation gives 0.187 eV/f.u. As for the space-group type: P4/mmm, No. 123. For the offset from the most stable computed form, the calculation gives 0.1 kJ/mol of atoms.

---

## CaPmPb (GGA-PBE)

Data for an optimized crystal structure of CaPmPb.

abc: 5.384 5.384 3.849
angles: 90.00 90.00 120.00
Fractional coordinates of all 3 atoms:
Ca1 0.000 0.000 0.000
Pm1 0.667 0.333 0.544
Pb1 0.333 0.667 0.231

For the energy of formation from the pure elements, the calculation gives -0.837 eV/f.u. As for the space-group type: P3m1, No. 156. For the offset from the most stable computed form, the calculation gives 14.8 kJ/mol of atoms.

---

## Tb3Dy4Tm2 (GGA-PBE)

Data for an optimized crystal structure of Tb3Dy4Tm2.

abc: 7.895 7.895 7.889
angles: 107.29 107.29 36.83
Fractional coordinates of all 9 atoms:
Tb1 0.000 0.000 0.000
Tb2 0.111 0.111 0.666
Tb3 0.889 0.889 0.334
Dy1 0.222 0.222 0.334
Dy2 0.333 0.333 0.000
Dy3 0.667 0.667 0.000
Dy4 0.778 0.778 0.666
Tm1 0.444 0.444 0.666
Tm2 0.556 0.556 0.334

For the energy of formation from the pure elements, the calculation gives 0.161 eV/f.u. As for the space-group type: C2/m, No. 12. For the offset from the most stable computed form, the calculation gives 0.0 kJ/mol of atoms.

---

## LiCe3Ag3S8 (GGA-PBE)

Data for an optimized crystal structure of LiCe3Ag3S8.

abc: 7.499 7.499 7.499
angles: 65.35 65.35 65.35
Fractional coordinates of all 15 atoms:
Li1 0.000 0.000 0.000
Ce1 0.000 0.500 0.500
Ce2 0.500 0.000 0.500
Ce3 0.500 0.500 0.000
Ag1 0.000 0.000 0.500
Ag2 0.000 0.500 0.000
Ag3 0.500 0.000 0.000
S1 0.246 0.246 0.745
S2 0.246 0.745 0.246
S3 0.249 0.249 0.249
S4 0.255 0.754 0.754
S5 0.745 0.246 0.246
S6 0.751 0.751 0.751
S7 0.754 0.255 0.754
S8 0.754 0.754 0.255

As for the space-group type: R-3m, No. 166. For the energy, the calculation gives -78.37 eV/cell.

---

## Hf3ZrH (GGA-PBE)

Data for an optimized crystal structure of Hf3ZrH.

abc: 4.505 4.505 4.505
angles: 90.00 90.00 90.00
Fractional coordinates of all 5 atoms:
Hf1 0.000 0.000 0.500
Hf2 0.000 0.500 0.000
Hf3 0.500 0.000 0.000
Zr1 0.500 0.500 0.500
H1 0.000 0.000 0.000

As for the space-group type: Pm-3m, No. 221. For the offset from the most stable computed form, the calculation gives 0.0 kJ/mol of atoms.

---

## Rb2Ga2Ru (GGA-PBE)

Data for an optimized crystal structure of Rb2Ga2Ru.

abc: 8.269 8.269 8.269
angles: 151.08 151.08 41.36
Fractional coordinates of all 5 atoms:
Rb1 0.250 0.750 0.500
Rb2 0.750 0.250 0.500
Ga1 0.078 0.078 0.000
Ga2 0.922 0.922 0.000
Ru1 0.500 0.500 0.000

For the energy of formation from the pure elements, the calculation gives 5.287 eV/f.u. As for the space-group type: I4/mmm, No. 139. For the offset from the most stable computed form, the calculation gives 79.1 kJ/mol of atoms.

---

## GaCo2Sn2 (GGA-PBE)

Data for an optimized crystal structure of GaCo2Sn2.

abc: 8.678 8.678 8.678
angles: 157.53 157.53 31.98
Fractional coordinates of all 5 atoms:
Ga1 0.000 0.000 0.000
Co1 0.250 0.750 0.500
Co2 0.750 0.250 0.500
Sn1 0.376 0.376 0.000
Sn2 0.624 0.624 0.000

For the energy of formation from the pure elements, the calculation gives 0.995 eV/f.u. As for the space-group type: I4/mmm, No. 139. For the offset from the most stable computed form, the calculation gives 16.3 kJ/mol of atoms.

---

## CoTeOs2 (GGA-PBE)

Data for an optimized crystal structure of CoTeOs2.

abc: 4.570 4.570 4.908
angles: 100.03 100.03 37.52
Fractional coordinates of all 4 atoms:
Co1 0.000 0.000 0.000
Te1 0.500 0.500 0.500
Os1 0.260 0.260 0.783
Os2 0.740 0.740 0.217

As for the space-group type: C2/m, No. 12. For the energy, the calculation gives -30.19 eV/cell.

---

## SiOsPt2 (GGA-PBE)

Data for an optimized crystal structure of SiOsPt2.

abc: 4.823 4.823 4.823
angles: 133.28 133.28 68.22
Fractional coordinates of all 4 atoms:
Si1 0.000 0.000 0.000
Os1 0.500 0.500 0.000
Pt1 0.250 0.750 0.500
Pt2 0.750 0.250 0.500

As for the space-group type: I4/mmm, No. 139. For the energy, the calculation gives -28.37 eV/cell.

---

## ZrPaZn3 (GGA-PBE)

Data for an optimized crystal structure of ZrPaZn3.

abc: 13.520 13.520 4.468
angles: 90.00 90.00 166.39
Fractional coordinates of all 10 atoms:
Zr1 0.216 0.784 0.750
Zr2 0.784 0.216 0.250
Pa1 0.074 0.926 0.250
Pa2 0.926 0.074 0.750
Zn1 0.323 0.677 0.750
Zn2 0.376 0.624 0.250
Zn3 0.475 0.525 0.250
Zn4 0.525 0.475 0.750
Zn5 0.624 0.376 0.750
Zn6 0.677 0.323 0.250

For the energy of formation from the pure elements, the calculation gives -0.645 eV/f.u. As for the space-group type: Cmcm, No. 63.

---

## Ho12CdCo5 (GGA-PBE)

Data for an optimized crystal structure of Ho12CdCo5.

abc: 8.229 8.229 8.229
angles: 110.67 110.53 107.24
Fractional coordinates of all 18 atoms:
Ho1 0.017 0.210 0.807
Ho2 0.185 0.291 0.475
Ho3 0.185 0.709 0.894
Ho4 0.315 0.010 0.695
Ho5 0.315 0.620 0.305
Ho6 0.402 0.210 0.193
Ho7 0.598 0.790 0.807
Ho8 0.685 0.380 0.695
Ho9 0.685 0.990 0.305
Ho10 0.815 0.291 0.106
Ho11 0.815 0.709 0.525
Ho12 0.983 0.790 0.193
Cd1 0.500 0.500 0.000
Co1 0.000 0.000 0.000
Co2 0.113 0.613 0.500
Co3 0.377 0.000 0.377
Co4 0.623 0.000 0.623
Co5 0.887 0.387 0.500

For the energy of formation from the pure elements, the calculation gives -3.976 eV/f.u. As for the space-group type: Immm, No. 71.

---

## TeAs (GGA-PBE)

Data for an optimized crystal structure of TeAs.

abc: 4.833 4.049 6.047
angles: 90.00 109.55 90.00
Fractional coordinates of all 4 atoms:
Te1 0.186 0.250 0.321
Te2 0.814 0.750 0.679
As1 0.301 0.250 0.930
As2 0.699 0.750 0.070

As for the space-group type: P2_1/m, No. 11. For the energy, the calculation gives -15.12 eV/cell.

---

## Ca2CrSnOs (GGA-PBE)

Data for an optimized crystal structure of Ca2CrSnOs.

abc: 5.470 5.470 5.114
angles: 90.00 90.00 90.00
Fractional coordinates of all 5 atoms:
Ca1 0.000 0.500 0.000
Ca2 0.500 0.000 0.000
Cr1 0.000 0.000 0.500
Sn1 0.500 0.500 0.500
Os1 0.500 0.500 0.000

For the energy of formation from the pure elements, the calculation gives 2.748 eV/f.u. As for the space-group type: P4/mmm, No. 123.

---

## Ca2MgHg (GGA-PBE)

Data for an optimized crystal structure of Ca2MgHg.

abc: 5.310 5.310 5.310
angles: 60.00 60.00 60.00
Fractional coordinates of all 4 atoms:
Ca1 0.000 0.000 0.000
Ca2 0.250 0.250 0.250
Mg1 0.500 0.500 0.500
Hg1 0.750 0.750 0.750

For the energy of formation from the pure elements, the calculation gives -0.771 eV/f.u. As for the space-group type: F-43m, No. 216. For the offset from the most stable computed form, the calculation gives 12.6 kJ/mol of atoms.

---

## PmSmSi4 (GGA-PBE)

Data for an optimized crystal structure of PmSmSi4.

abc: 7.847 7.847 7.847
angles: 149.91 149.91 43.08
Fractional coordinates of all 6 atoms:
Pm1 0.000 0.000 0.000
Sm1 0.250 0.750 0.500
Si1 0.417 0.417 0.000
Si2 0.583 0.583 0.000
Si3 0.668 0.168 0.500
Si4 0.832 0.332 0.500

As for the space-group type: I-4m2, No. 119. For the offset from the most stable computed form, the calculation gives 0.0 kJ/mol of atoms.

---

## CaGaP2 (GGA-PBE)

Data for an optimized crystal structure of CaGaP2.

abc: 8.735 8.735 8.735
angles: 23.68 23.68 23.68
Fractional coordinates of all 4 atoms:
Ca1 0.000 0.000 0.000
Ga1 0.500 0.500 0.500
P1 0.109 0.109 0.109
P2 0.891 0.891 0.891

For the energy of formation from the pure elements, the calculation gives 0.723 eV/f.u. As for the space-group type: R-3m, No. 166.

---

## KFe4 (GGA-PBE)

Data for an optimized crystal structure of KFe4.

abc: 4.964 4.964 4.964
angles: 109.47 109.47 109.47
Fractional coordinates of all 5 atoms:
K1 0.000 0.000 0.000
Fe1 0.000 0.000 0.500
Fe2 0.000 0.500 0.000
Fe3 0.500 0.000 0.000
Fe4 0.500 0.500 0.500

For the energy of formation from the pure elements, the calculation gives 11.615 eV/f.u. As for the space-group type: Im-3m, No. 229. For the offset from the most stable computed form, the calculation gives 0.0 kJ/mol of atoms.

---

## MnIn (GGA-PBE)

Data for an optimized crystal structure of MnIn.

abc: 5.510 5.510 3.978
angles: 90.00 90.00 146.70
Fractional coordinates of all 4 atoms:
Mn1 0.049 0.951 0.750
Mn2 0.951 0.049 0.250
In1 0.334 0.666 0.750
In2 0.666 0.334 0.250

For the energy of formation from the pure elements, the calculation gives 0.887 eV/f.u. As for the space-group type: Cmcm, No. 63.

---

## TcP2Os (GGA-PBE)

Data for an optimized crystal structure of TcP2Os.

abc: 2.953 2.953 5.908
angles: 90.00 90.00 90.00
Fractional coordinates of all 4 atoms:
Tc1 0.000 0.000 0.000
P1 0.500 0.500 0.244
P2 0.500 0.500 0.756
Os1 0.000 0.000 0.500

For the energy of formation from the pure elements, the calculation gives -0.656 eV/f.u. As for the space-group type: P4/mmm, No. 123. For the offset from the most stable computed form, the calculation gives 13.6 kJ/mol of atoms.

---

## Tm5In4Pb (GGA-PBE)

Data for an optimized crystal structure of Tm5In4Pb.

abc: 3.413 3.413 22.324
angles: 90.00 90.00 90.00
Fractional coordinates of all 10 atoms:
Tm1 0.000 0.000 0.000
Tm2 0.000 0.000 0.197
Tm3 0.000 0.000 0.394
Tm4 0.000 0.000 0.606
Tm5 0.000 0.000 0.803
In1 0.500 0.500 0.099
In2 0.500 0.500 0.297
In3 0.500 0.500 0.703
In4 0.500 0.500 0.901
Pb1 0.500 0.500 0.500

For the energy of formation from the pure elements, the calculation gives -4.079 eV/f.u. As for the space-group type: P4/mmm, No. 123.

---

## La12Pm5Sm2 (GGA-PBE)

Data for an optimized crystal structure of La12Pm5Sm2.

abc: 10.558 10.558 10.183
angles: 114.87 114.87 42.54
Fractional coordinates of all 19 atoms:
La1 0.007 0.007 0.213
La2 0.066 0.602 0.503
La3 0.091 0.592 0.154
La4 0.398 0.934 0.497
La5 0.408 0.909 0.846
La6 0.487 0.487 0.646
La7 0.513 0.513 0.354
La8 0.592 0.091 0.154
La9 0.602 0.066 0.503
La10 0.909 0.408 0.846
La11 0.934 0.398 0.497
La12 0.993 0.993 0.787
Pm1 0.000 0.000 0.500
Pm2 0.175 0.175 0.166
Pm3 0.321 0.321 0.804
Pm4 0.679 0.679 0.196
Pm5 0.825 0.825 0.834
Sm1 0.301 0.699 0.000
Sm2 0.699 0.301 0.000

For the energy of formation from the pure elements, the calculation gives 2.796 eV/f.u. As for the space-group type: C2/m, No. 12. For the offset from the most stable computed form, the calculation gives 6.4 kJ/mol of atoms.

---

## PmDy3Tm2 (GGA-PBE)

Data for an optimized crystal structure of PmDy3Tm2.

abc: 7.132 7.138 8.790
angles: 78.24 78.29 60.06
Fractional coordinates of all 12 atoms:
Pm1 0.249 0.251 0.001
Pm2 0.751 0.749 0.999
Dy1 0.139 0.140 0.665
Dy2 0.251 0.750 0.999
Dy3 0.361 0.860 0.336
Dy4 0.639 0.140 0.664
Dy5 0.749 0.250 0.001
Dy6 0.861 0.860 0.335
Tm1 0.140 0.639 0.664
Tm2 0.360 0.362 0.335
Tm3 0.640 0.638 0.665
Tm4 0.860 0.361 0.336

For the energy of formation from the pure elements, the calculation gives -0.024 eV/f.u. As for the space-group type: P-1, No. 2. For the offset from the most stable computed form, the calculation gives 0.0 kJ/mol of atoms.

---

## NiIrS3 (GGA-PBE)

Data for an optimized crystal structure of NiIrS3.

abc: 7.774 7.774 6.815
angles: 101.28 101.28 24.57
Fractional coordinates of all 10 atoms:
Ni1 0.083 0.083 0.315
Ni2 0.917 0.917 0.685
Ir1 0.342 0.342 0.163
Ir2 0.658 0.658 0.837
S1 0.181 0.181 0.082
S2 0.341 0.341 0.506
S3 0.496 0.496 0.186
S4 0.504 0.504 0.814
S5 0.659 0.659 0.494
S6 0.819 0.819 0.918

As for the space-group type: C2/m, No. 12. For the offset from the most stable computed form, the calculation gives 0.0 kJ/mol of atoms.

---

## Pm4Si3Au (GGA-PBE)

Data for an optimized crystal structure of Pm4Si3Au.

abc: 4.040 4.357 11.123
angles: 90.00 90.00 90.00
Fractional coordinates of all 8 atoms:
Pm1 0.000 0.000 0.000
Pm2 0.000 0.500 0.492
Pm3 0.500 0.000 0.713
Pm4 0.500 0.500 0.217
Si1 0.000 0.000 0.283
Si2 0.500 0.000 0.424
Si3 0.500 0.500 0.938
Au1 0.000 0.500 0.783

As for the space-group type: Pmm2, No. 25. For the energy, the calculation gives -44.51 eV/cell.